VASP calculation (GGA-PBEsol) on a geometry-optimized CdIn structure.

## Properties
Formation energy from the elements: 1.0 kcal/mol of atoms
E_tot: -2.05 eV/atom
Density of states at the Fermi level: 0.421 states/eV/atom
Total magnetization: 0.000 μB per atom

abc: 3.302 4.697 6.287
angles: 90.00 105.22 90.00
Atoms (fractional coordinates):
Cd (0.426, 0.250, 0.851)
In (0.169, 0.250, 0.338)
Cd (0.574, 0.750, 0.149)
In (0.831, 0.750, 0.662)